1.
Computed, not measured: Tb4Ce3S8 after structural relaxation at the PBE level of DFT.

Cell and atoms, written as CIF:
```
data_Tb4Ce3S8
_space_group_name_H-M_alt 'C 1 2/m 1'
_space_group_IT_number 12
_space_group_name_Hall '-C 2y'
_cell_length_a 11.225
_cell_length_b 11.232
_cell_length_c 7.915
_cell_angle_alpha 90.00
_cell_angle_beta 134.79
_cell_angle_gamma 90.00
loop_
_atom_site_label
_atom_site_fract_x
_atom_site_fract_y
_atom_site_fract_z
Tb1 0.000 0.000 0.000
Tb2 0.000 0.000 0.500
Tb3 0.250 0.250 0.000
Ce1 0.000 0.500 0.500
Ce2 0.250 0.250 0.500
S1 0.000 0.247 0.500
S2 0.000 0.248 0.000
S3 0.244 0.000 0.494
S4 0.246 0.000 0.995
```

Results
* crystal system: monoclinic
* formation energy without anion corrections: -2048 meV per atom

2.
Computed, not measured: PmCl2 after structural relaxation at the PBE level of DFT.

Cell and atoms, written as CIF:
```
data_PmCl2
_space_group_name_H-M_alt 'C 2 2 21'
_space_group_IT_number 20
_space_group_name_Hall 'C 2c 2'
_cell_length_a 3.865
_cell_length_b 6.692
_cell_length_c 29.131
_cell_angle_alpha 90.00
_cell_angle_beta 90.00
_cell_angle_gamma 90.00
loop_
_atom_site_label
_atom_site_fract_x
_atom_site_fract_y
_atom_site_fract_z
Pm1 0.241 0.002 0.123
Cl1 0.241 0.332 0.816
Cl2 0.241 0.332 0.937
```

Results
* crystal system: orthorhombic
* formation energy without anion corrections: -2013 meV per atom

3.
Computed, not measured: Nd8GeSb5 after structural relaxation at the PBE level of DFT.

Cell and atoms, written as CIF:
```
data_Nd8GeSb5
_space_group_name_H-M_alt 'I -4'
_space_group_IT_number 82
_space_group_name_Hall 'I -4'
_cell_length_a 9.431
_cell_length_b 9.431
_cell_length_c 9.528
_cell_angle_alpha 90.00
_cell_angle_beta 90.00
_cell_angle_gamma 90.00
loop_
_atom_site_label
_atom_site_fract_x
_atom_site_fract_y
_atom_site_fract_z
Nd1 0.070 0.191 0.303
Nd2 0.070 0.323 0.949
Ge1 0.000 0.500 0.250
Sb1 0.000 0.000 0.000
Sb2 0.121 0.248 0.627
```

Results
* crystal system: tetragonal
* formation energy without anion corrections: -1020 meV per atom

4.
Computed, not measured: NdTmCuSi after structural relaxation at the PBE level of DFT.

Cell and atoms, written as CIF:
```
data_NdTmCuSi
_space_group_name_H-M_alt 'F -4 3 m'
_space_group_IT_number 216
_space_group_name_Hall 'F -4 2 3'
_cell_length_a 7.057
_cell_length_b 7.057
_cell_length_c 7.057
_cell_angle_alpha 90.00
_cell_angle_beta 90.00
_cell_angle_gamma 90.00
loop_
_atom_site_label
_atom_site_fract_x
_atom_site_fract_y
_atom_site_fract_z
Nd1 0.000 0.000 0.000
Tm1 0.000 0.000 0.500
Cu1 0.250 0.250 0.250
Si1 0.250 0.250 0.750
```

Results
* crystal system: cubic
* formation energy without anion corrections: -387 meV per atom

5.
Computed, not measured: La3CdO after structural relaxation at the PBE level of DFT.

Cell and atoms, written as CIF:
```
data_La3CdO
_space_group_name_H-M_alt 'A m m 2'
_space_group_IT_number 38
_space_group_name_Hall 'A 2 -2'
_cell_length_a 3.466
_cell_length_b 7.634
_cell_length_c 15.838
_cell_angle_alpha 90.00
_cell_angle_beta 90.00
_cell_angle_gamma 90.00
loop_
_atom_site_label
_atom_site_fract_x
_atom_site_fract_y
_atom_site_fract_z
La1 0.000 0.000 0.000
La2 0.500 0.224 0.835
Cd1 0.500 0.000 0.178
O1 0.000 0.000 0.832
```

Results
* crystal system: orthorhombic
* formation energy without anion corrections: -647 meV per atom

6.
Computed, not measured: CaLa2Mg after structural relaxation at the PBE level of DFT.

Cell and atoms, written as CIF:
```
data_CaLa2Mg
_space_group_name_H-M_alt 'R 3 m'
_space_group_IT_number 160
_space_group_name_Hall 'R 3 -2"'
_cell_length_a 3.7235
_cell_length_b 3.7235
_cell_length_c 35.3303
_cell_angle_alpha 90.00
_cell_angle_beta 90.00
_cell_angle_gamma 120.00
loop_
_atom_site_label
_atom_site_fract_x
_atom_site_fract_y
_atom_site_fract_z
Ca1 0.0000 0.0000 0.0000
La1 0.0000 0.0000 0.2402
La2 0.0000 0.0000 0.4910
Mg1 0.0000 0.0000 0.7445
```

Results
* crystal system: trigonal
* DFT formation energy: 14 kJ/mol of formula units

7.
Computed, not measured: LiMnRe after structural relaxation at the PBE level of DFT.

Cell and atoms, written as CIF:
```
data_LiMnRe
_space_group_name_H-M_alt 'I m m 2'
_space_group_IT_number 44
_space_group_name_Hall 'I 2 -2'
_cell_length_a 2.537
_cell_length_b 4.063
_cell_length_c 7.387
_cell_angle_alpha 90.00
_cell_angle_beta 90.00
_cell_angle_gamma 90.00
loop_
_atom_site_label
_atom_site_fract_x
_atom_site_fract_y
_atom_site_fract_z
Li1 0.000 0.000 0.000
Mn1 0.000 0.000 0.665
Re1 0.000 0.000 0.334
```

Results
* crystal system: orthorhombic
* DFT formation energy: 87 kJ/mol of formula units

8.
Computed, not measured: ScSiB2H after structural relaxation at the PBE level of DFT.

Cell and atoms, written as CIF:
```
data_ScSiB2H
_space_group_name_H-M_alt 'P 4/m m m'
_space_group_IT_number 123
_space_group_name_Hall '-P 4 2'
_cell_length_a 4.508
_cell_length_b 4.508
_cell_length_c 5.271
_cell_angle_alpha 90.00
_cell_angle_beta 90.00
_cell_angle_gamma 90.00
loop_
_atom_site_label
_atom_site_fract_x
_atom_site_fract_y
_atom_site_fract_z
Sc1 0.000 0.000 0.000
Si1 0.000 0.000 0.500
B1 0.000 0.500 0.000
H1 0.500 0.500 0.500
```

Results
* crystal system: tetragonal
* final energy: -3.45 eV per atom